Nb3SO after structural relaxation. Source: Alexandria via LeMat-Bulk, functional PBE.

Lattice parameters (Å, degrees): 4.240 4.240 4.240 90.00 90.00 90.00
Atoms (fractional coordinates):
Nb (0.000, 0.000, 0.500)
Nb (0.000, 0.500, 0.000)
Nb (0.500, 0.000, 0.000)
S (0.500, 0.500, 0.500)
O (0.000, 0.000, 0.000)

Formation energy from raw total energies ... -444.0 meV per atom
Energy ... -41.51 eV per cell



KMn2Ni after structural relaxation. Source: Alexandria via LeMat-Bulk, functional PBE.

Lattice parameters (Å, degrees): 4.690 4.690 4.690 60.00 60.00 60.00
Atoms (fractional coordinates):
K (0.000, 0.000, 0.000)
Mn (0.250, 0.250, 0.250)
Mn (0.750, 0.750, 0.750)
Ni (0.500, 0.500, 0.500)

Energy ... -20.92 eV per cell
Energy of formation from the pure elements ... 1.07 eV/atom



CsTc2AuF after structural relaxation. Source: Alexandria via LeMat-Bulk, functional PBE.

Lattice parameters (Å, degrees): 4.433 4.433 6.157 90.00 90.00 90.00
Atoms (fractional coordinates):
Cs (0.000, 0.000, 0.000)
Tc (0.000, 0.500, 0.500)
Tc (0.500, 0.000, 0.500)
Au (0.500, 0.500, 0.000)
F (0.500, 0.500, 0.500)

Formation energy from raw total energies ... 1042.3 meV per atom
Energy ... -21.52 eV per cell



Q: Which value of energy does entry 2 give?
A: -20.92 eV per cell



Please write out number 2 again, unchanged.
KMn2Ni after structural relaxation. Source: Alexandria via LeMat-Bulk, functional PBE.

Lattice parameters (Å, degrees): 4.690 4.690 4.690 60.00 60.00 60.00
Atoms (fractional coordinates):
K (0.000, 0.000, 0.000)
Mn (0.250, 0.250, 0.250)
Mn (0.750, 0.750, 0.750)
Ni (0.500, 0.500, 0.500)

Energy ... -20.92 eV per cell
Energy of formation from the pure elements ... 1.07 eV/atom



Q: Which of these has the highest energy?
A: KMn2Ni